VASP calculation (PBE-GGA) on a relaxed structure of HfVTe4.

Lattice parameters (Å, degrees): 3.828 6.791 6.658 89.69 90.00 90.00
Last column: magnetic moment on the atom in μB.
Fractional coordinates of all 6 atoms:
Hf  0.500  0.000  0.500  0.04
Te  0.000  0.738  0.678  -0.04
Te  0.500  0.250  0.845  -0.09
V  0.000  0.000  0.000  1.53
Te  0.500  0.750  0.155  -0.09
Te  0.000  0.262  0.322  -0.04

Computed properties:
Energy above the lowest structure with this stoichiometry   0 meV per atom
Density of states at the Fermi level   3.34 states/eV per cell
Theoretical density   7.1 Mg/m³
Crystal system   monoclinic
Electronic total energy   -5.82 eV per atom
Space group   P2/m, No. 10